VASP calculation (PBE+U) on a relaxed MnSeBr2F crystal.

Properties
* calculated total energy: -3.23 eV per atom
* SG: No. 123
* excess energy over the best structure of this formula in the dataset: 126 meV/atom

Cell lengths 5.581, 5.581, 3.937 Å; angles 90.00, 90.00, 90.00 degrees
Site moments in Bohr magnetons follow the coordinates.
Element x y z (fractional)
1 Br 0.500 0.000 0.000  0.11
2 Br 0.000 0.500 0.000  0.11
3 Se 0.000 0.000 0.500  0.50
4 F 0.000 0.000 0.000  0.04
5 Mn 0.500 0.500 0.500  4.77